# 1
Compound: LaOsN3
Source: Alexandria
Functional: GGA-PBE
Structure: optimized geometry

The structure in POSCAR format:
```
LaOsN3
1.0
4.146 0.000 0.000
0.651 6.412 0.000
0.844 3.011 6.212
La Os N
2 2 6
direct
0.000 0.000 0.000
0.478 0.701 0.545
0.434 0.279 0.229
0.917 0.494 0.032
0.020 0.617 0.381
0.106 0.503 0.272
0.464 0.001 0.182
0.521 0.209 0.677
0.542 0.188 0.511
0.945 0.728 0.768
```

Properties
Final energy in eV for the cell shown: -85.619
E_form (uncorrected) in eV per formula unit: -1.68
Magnetic moment in μB per cell: 0.0


# 2
Compound: LaOsN3
Source: Alexandria
Functional: GGA-PBE
Structure: optimized geometry

The structure in POSCAR format:
```
LaOsN3
1.0
5.415 0.000 0.000
0.000 3.800 0.000
-1.656 0.000 6.446
La Os N
2 2 6
direct
0.182 0.250 0.270
0.818 0.750 0.730
0.354 0.250 0.862
0.646 0.750 0.138
0.269 0.750 0.024
0.289 0.578 0.623
0.289 0.922 0.623
0.711 0.078 0.377
0.711 0.422 0.377
0.731 0.250 0.976
```

Properties
Final energy in eV for the cell shown: -85.446
E_form (uncorrected) in eV per formula unit: -1.59
Magnetic moment in μB per cell: 0.0


# 3
Compound: LaOsN3
Source: Alexandria
Functional: GGA-PBE
Structure: optimized geometry

The structure in POSCAR format:
```
LaOsN3
1.0
-1.764 1.764 11.205
1.764 -1.764 11.205
1.764 1.764 -11.205
La Os N
2 2 6
direct
0.000 0.000 0.000
0.750 0.250 0.500
0.133 0.633 0.500
0.367 0.867 0.500
0.322 0.322 0.000
0.417 0.101 0.317
0.678 0.678 0.000
0.784 0.101 0.683
0.899 0.216 0.317
0.899 0.583 0.683
```

Properties
Final energy in eV for the cell shown: -79.824
E_form (uncorrected) in eV per formula unit: 1.22
Magnetic moment in μB per cell: 0.5


What are the density of states at the Fermi level values for these records? In order: 0.00, 0.04, 0.74 states/eV/atom.